(1)
# Mg2InH

An optimized crystal structure of Mg2InH (PBE-GGA, the Alexandria database).

The structure in CIF format:
```
data_Mg2InH
_chemical_formula_sum 'Mg2 In1 H1'
_symmetry_space_group_name_H-M 'P 4/m m m'
_symmetry_Int_Tables_number 123
_symmetry_space_group_name_Hall '-P 4 2'
_cell_length_a 3.088
_cell_length_b 3.088
_cell_length_c 7.519
_cell_angle_alpha 90.00
_cell_angle_beta 90.00
_cell_angle_gamma 90.00
loop_
_atom_site_label
_atom_site_type_symbol
_atom_site_fract_x
_atom_site_fract_y
_atom_site_fract_z
Mg1 Mg 0.000 0.000 0.192
In1 In 0.500 0.500 0.500
H1 H 0.500 0.500 0.000
```

Properties
Uncorrected energy in eV/f.u.: -8.5
Relative energy among the computed polymorphs in meV/atom: 268
Magnetic moment in μB per cell: 0.00

(2)
# Y2NiTe

An optimized crystal structure of Y2NiTe (PBE-GGA, the Alexandria database).

The structure in CIF format:
```
data_Y2NiTe
_chemical_formula_sum 'Y4 Ni2 Te2'
_symmetry_space_group_name_H-M 'C 1 2/m 1'
_symmetry_Int_Tables_number 12
_cell_length_a 7.150
_cell_length_b 7.156
_cell_length_c 3.699
_cell_angle_alpha 90.00
_cell_angle_beta 90.12
_cell_angle_gamma 90.00
loop_
_symmetry_equiv_pos_as_xyz
'x,y,z'
'-x,-y,-z'
'-x,y,-z'
'x,-y,z'
'x+1/2,y+1/2,z'
'-x+1/2,-y+1/2,-z'
'-x+1/2,y+1/2,-z'
'x+1/2,-y+1/2,z'
loop_
_atom_site_label
_atom_site_type_symbol
_atom_site_fract_x
_atom_site_fract_y
_atom_site_fract_z
Y1 Y 0.250 0.250 0.000
Ni1 Ni 0.000 0.000 0.500
Te1 Te 0.000 0.500 0.500
```

Properties
Uncorrected energy in eV/f.u.: -24.1
Uncorrected formation energy in eV/atom: -0.56
Magnetic moment in μB per cell: 0.00

(3)
# Tm2ZnRe

An optimized crystal structure of Tm2ZnRe (PBE-GGA, the Alexandria database).

The structure in CIF format:
```
data_Tm2ZnRe
_chemical_formula_sum 'Tm2 Zn1 Re1'
_symmetry_space_group_name_H-M 'P 4/m m m'
_symmetry_Int_Tables_number 123
_symmetry_space_group_name_Hall '-P 4 2'
_cell_length_a 3.441
_cell_length_b 3.441
_cell_length_c 7.067
_cell_angle_alpha 90.00
_cell_angle_beta 90.00
_cell_angle_gamma 90.00
loop_
_atom_site_label
_atom_site_type_symbol
_atom_site_fract_x
_atom_site_fract_y
_atom_site_fract_z
Tm1 Tm 0.000 0.000 0.231
Zn1 Zn 0.500 0.500 0.500
Re1 Re 0.500 0.500 0.000
```

Properties
Uncorrected energy in eV/f.u.: -23.0
Magnetic moment in μB per cell: 0.00

(4)
# BiAsPd6

An optimized crystal structure of BiAsPd6 (PBE-GGA, the Alexandria database).

The structure in CIF format:
```
data_BiAsPd6
_chemical_formula_sum 'Bi1 As1 Pd6'
_symmetry_space_group_name_H-M 'P 4/m m m'
_symmetry_Int_Tables_number 123
_symmetry_space_group_name_Hall '-P 4 2'
_cell_length_a 4.078
_cell_length_b 4.078
_cell_length_c 8.014
_cell_angle_alpha 90.00
_cell_angle_beta 90.00
_cell_angle_gamma 90.00
loop_
_atom_site_label
_atom_site_type_symbol
_atom_site_fract_x
_atom_site_fract_y
_atom_site_fract_z
Bi1 Bi 0.000 0.000 0.000
As1 As 0.000 0.000 0.500
Pd1 Pd 0.000 0.500 0.266
Pd2 Pd 0.500 0.500 0.000
Pd3 Pd 0.500 0.500 0.500
```

Properties
Uncorrected energy in eV/f.u.: -41.3
Relative energy among the computed polymorphs in meV/atom: 24
Magnetic moment in μB per cell: 0.00

(5)
# ZrZn2TeO8

An optimized crystal structure of ZrZn2TeO8 (PBE-GGA, the Alexandria database).

The structure in CIF format:
```
data_ZrZn2TeO8
_chemical_formula_sum 'Zr2 Zn4 Te2 O16'
_symmetry_space_group_name_H-M 'I -4 m 2'
_symmetry_Int_Tables_number 119
_symmetry_space_group_name_Hall 'I -4 -2'
_cell_length_a 6.557
_cell_length_b 6.557
_cell_length_c 6.733
_cell_angle_alpha 90.00
_cell_angle_beta 90.00
_cell_angle_gamma 90.00
loop_
_atom_site_label
_atom_site_type_symbol
_atom_site_fract_x
_atom_site_fract_y
_atom_site_fract_z
Zr1 Zr 0.000 0.000 0.000
Zn1 Zn 0.000 0.000 0.500
Zn2 Zn 0.000 0.500 0.750
Te1 Te 0.000 0.500 0.250
O1 O 0.000 0.195 0.287
O2 O 0.000 0.323 0.973
```

Properties
Uncorrected energy in eV/f.u.: -69.3
Uncorrected formation energy in eV/atom: -1.29
Magnetic moment in μB per cell: 0.00

(6)
# LiBe2Cr2

An optimized crystal structure of LiBe2Cr2 (PBE-GGA, the Alexandria database).

The structure in CIF format:
```
data_LiBe2Cr2
_chemical_formula_sum 'Li2 Be4 Cr4'
_symmetry_space_group_name_H-M 'P 4/m b m'
_symmetry_Int_Tables_number 127
_symmetry_space_group_name_Hall '-P 4 2ab'
_cell_length_a 7.154
_cell_length_b 7.154
_cell_length_c 2.243
_cell_angle_alpha 90.00
_cell_angle_beta 90.00
_cell_angle_gamma 90.00
loop_
_atom_site_label
_atom_site_type_symbol
_atom_site_fract_x
_atom_site_fract_y
_atom_site_fract_z
Li1 Li 0.000 0.000 0.000
Be1 Be 0.179 0.321 0.500
Cr1 Cr 0.112 0.612 0.000
```

Properties
Uncorrected energy in eV/f.u.: -27.3
Relative energy among the computed polymorphs in meV/atom: 0
Magnetic moment in μB per cell: 0.00

(7)
# CrGaCoRe

An optimized crystal structure of CrGaCoRe (PBE-GGA, the Alexandria database).

The structure in CIF format:
```
data_CrGaCoRe
_chemical_formula_sum 'Cr4 Ga4 Co4 Re4'
_symmetry_space_group_name_H-M 'F -4 3 m'
_symmetry_Int_Tables_number 216
_symmetry_space_group_name_Hall 'F -4 2 3'
_cell_length_a 5.915
_cell_length_b 5.915
_cell_length_c 5.915
_cell_angle_alpha 90.00
_cell_angle_beta 90.00
_cell_angle_gamma 90.00
loop_
_atom_site_label
_atom_site_type_symbol
_atom_site_fract_x
_atom_site_fract_y
_atom_site_fract_z
Cr1 Cr 0.000 0.000 0.000
Ga1 Ga 0.000 0.000 0.500
Co1 Co 0.250 0.250 0.250
Re1 Re 0.250 0.250 0.750
```

Properties
Uncorrected energy in eV/f.u.: -32.0
Magnetic moment in μB per cell: 5.42

(8)
# KSrAs2

An optimized crystal structure of KSrAs2 (PBE-GGA, the Alexandria database).

The structure in CIF format:
```
data_KSrAs2
_chemical_formula_sum 'K2 Sr2 As4'
_symmetry_space_group_name_H-M 'C 1 2/m 1'
_symmetry_Int_Tables_number 12
_cell_length_a 6.813
_cell_length_b 9.081
_cell_length_c 3.496
_cell_angle_alpha 90.00
_cell_angle_beta 90.17
_cell_angle_gamma 90.00
loop_
_symmetry_equiv_pos_as_xyz
'x,y,z'
'-x,-y,-z'
'-x,y,-z'
'x,-y,z'
'x+1/2,y+1/2,z'
'-x+1/2,-y+1/2,-z'
'-x+1/2,y+1/2,-z'
'x+1/2,-y+1/2,z'
loop_
_atom_site_label
_atom_site_type_symbol
_atom_site_fract_x
_atom_site_fract_y
_atom_site_fract_z
K1 K 0.000 0.000 0.000
Sr1 Sr 0.000 0.500 0.000
As1 As 0.250 0.250 0.500
```

Properties
Uncorrected energy in eV/f.u.: -14.0
Relative energy among the computed polymorphs in meV/atom: 236
Magnetic moment in μB per cell: 0.00

Q: magnetic moment of number 1 (Mg2InH)?
A: 0.00 μB per cell

Q: Which of these has the lowest uncorrected energy?
A: ZrZn2TeO8

Q: Look up the magnetic moment of the seventh one.
A: 5.42 μB per cell

Copy entry 5 word for word.
# ZrZn2TeO8

An optimized crystal structure of ZrZn2TeO8 (PBE-GGA, the Alexandria database).

The structure in CIF format:
```
data_ZrZn2TeO8
_chemical_formula_sum 'Zr2 Zn4 Te2 O16'
_symmetry_space_group_name_H-M 'I -4 m 2'
_symmetry_Int_Tables_number 119
_symmetry_space_group_name_Hall 'I -4 -2'
_cell_length_a 6.557
_cell_length_b 6.557
_cell_length_c 6.733
_cell_angle_alpha 90.00
_cell_angle_beta 90.00
_cell_angle_gamma 90.00
loop_
_atom_site_label
_atom_site_type_symbol
_atom_site_fract_x
_atom_site_fract_y
_atom_site_fract_z
Zr1 Zr 0.000 0.000 0.000
Zn1 Zn 0.000 0.000 0.500
Zn2 Zn 0.000 0.500 0.750
Te1 Te 0.000 0.500 0.250
O1 O 0.000 0.195 0.287
O2 O 0.000 0.323 0.973
```

Properties
Uncorrected energy in eV/f.u.: -69.3
Uncorrected formation energy in eV/atom: -1.29
Magnetic moment in μB per cell: 0.00